1.
Nb5Ga2Sn | PBE-GGA | relaxed

Unit cell a=6.8899 b=6.8899 c=12.1323 alpha=90.00 beta=90.00 gamma=90.00
Space group I4/mcm (No. 140)
Symmetry-distinct sites (fractional):
1 Nb 0.0000 0.0000 0.0000 [4 per cell]
2 Nb 0.1615 0.3385 0.1502 [16 per cell]
3 Ga 0.1339 0.3661 0.5000 [8 per cell]
4 Sn 0.0000 0.0000 0.2500 [4 per cell]

## Properties
D(E_F)   15.736 states/eV per cell
Crystal system   tetragonal
Total moment   0.00 μB/cell
Uncorrected energy   -7.855 eV per atom
E_form   -304 meV per atom

2.
La2Tm3Pb2 | PBE-GGA | relaxed

Unit cell a=12.5436 b=4.4930 c=8.7632 alpha=90.00 beta=113.01 gamma=90.00
Space group C2/m (No. 12)
Symmetry-distinct sites (fractional):
1 La 0.1406 0.0000 0.3021 [4 per cell]
2 Tm 0.0000 0.5000 0.5000 [2 per cell]
3 Tm 0.1168 0.5000 0.9429 [4 per cell]
4 Pb 0.1635 0.0000 0.7193 [4 per cell]

## Properties
D(E_F)   16.742 states/eV per cell
Crystal system   monoclinic
Total moment   0.01 μB/cell
Uncorrected energy   -4.712 eV per atom
E_form   -328 meV per atom

3.
BeCo2Mo | PBE-GGA | relaxed

Unit cell a=3.6116 b=3.6248 c=6.8437 alpha=90.00 beta=90.00 gamma=90.00
Space group Immm (No. 71)
Symmetry-distinct sites (fractional):
1 Be 0.0000 0.0000 0.0000 [2 per cell]
2 Co 0.0000 0.5000 0.2503 [4 per cell]
3 Mo 0.0000 0.0000 0.5000 [2 per cell]

## Properties
D(E_F)   3.612 states/eV per cell
Crystal system   orthorhombic
Total moment   0.00 μB/cell
Uncorrected energy   -7.284 eV per atom
E_form   -92 meV per atom

4.
LaDy3B4O12 | PBE-GGA | relaxed

Unit cell a=10.2106 b=10.2106 c=8.6031 alpha=90.00 beta=90.00 gamma=120.00
Space group R32 (No. 155, hexagonal axes)
Symmetry-distinct sites (fractional):
1 La 0.0000 0.0000 0.0000 [3 per cell]
2 Dy 0.0000 0.5367 0.0000 [9 per cell]
3 B 0.0000 0.0000 0.5000 [3 per cell]
4 B 0.0000 0.4622 0.5000 [9 per cell]
5 O 0.0000 0.5976 0.5000 [9 per cell]
6 O 0.0000 0.8645 0.5000 [9 per cell]
7 O 0.0051 0.2005 0.1732 [18 per cell]

## Properties
D(E_F)   0.000 states/eV per cell
Crystal system   trigonal
Total moment   0.00 μB/cell
Uncorrected energy   -8.342 eV per atom
Uncorrected formation energy   -3.0952 eV per atom